(1)
HgOsSCl2: relaxed, PBE.

Its total energy is -2.45 eV per atom. The calculated volume is 27.0 A^3/atom. The value obtained for the energy above the most stable polymorph in this dataset is 1260 meV/atom. For the formation energy (no corrections), the calculation gives 1.417 eV/atom.

The space group is P4/mmm (No. 123) and the conventional cell measures 5.111, 5.111 and 5.164 Å, with angles of 90.00, 90.00 and 90.00 degrees. Symmetry generates all atoms from Hg at (0.000, 0.000, 0.000), Os at (0.500, 0.500, 0.500), S at (0.000, 0.000, 0.500) and Cl at (0.000, 0.500, 0.000).

---

(2)
LaEr6Tm2: relaxed, PBE.

Its total energy is -4.58 eV per atom. The calculation puts the formation energy at 1 meV per atom. The calculated volume is 31.1 A^3/atom. The value obtained for the energy above the most stable polymorph in this dataset is 0 meV/atom.

The space group is C2/m (No. 12) and the conventional cell measures 17.160, 3.564 and 11.849 Å, with angles of 90.00, 129.37 and 90.00 degrees. Symmetry generates all atoms from La at (0.000, 0.000, 0.000), Er at (0.038, 0.000, 0.739), Er at (0.129, 0.500, 0.593), Er at (0.168, 0.500, 0.337) and Tm at (0.206, 0.500, 0.074).

---

(3)
Nb2AsS2: relaxed, PBE.

Its total energy is -7.04 eV per atom. The calculated volume is 17.9 A^3/atom. The value obtained for the energy above the most stable polymorph in this dataset is 0 meV/atom. For the formation energy (no corrections), the calculation gives -0.429 eV/atom.

The space group is I4/mmm (No. 139) and the conventional cell measures 4.524, 4.524 and 8.726 Å, with angles of 90.00, 90.00 and 90.00 degrees. Symmetry generates all atoms from Nb at (0.000, 0.500, 0.250), As at (0.000, 0.000, 0.000) and S at (0.000, 0.000, 0.357).

---

(4)
Zr3TlH: relaxed, PBE.

Its total energy is -6.46 eV per atom. The calculated volume is 18.9 A^3/atom.

The space group is P1 (No. 1) and the conventional cell measures 5.288, 6.158 and 6.778 Å, with angles of 73.52, 89.99 and 64.68 degrees. Symmetry generates all atoms from Zr at (0.000, 0.000, 0.000), Zr at (0.015, 0.001, 0.503), Zr at (0.255, 0.507, 0.369), Zr at (0.515, 0.986, 0.262), Zr at (0.753, 0.493, 0.631), Zr at (0.769, 0.492, 0.128), Tl at (0.267, 0.481, 0.890), Tl at (0.502, 0.013, 0.741), H at (0.386, 0.750, 0.178) and H at (0.889, 0.744, 0.452).

---

| no. | D(E_F) (states/eV per atom) |
| --- | --- |
| 1 | 1.6371 |
| 2 | 1.4518 |
| 3 | 0.6660 |
| 4 | 0.7340 |